(1)
A relaxed SrAlIn2 crystal, computed with PBE.

```
4
Lattice="3.597 0.000 0.000 0.000 3.962 0.000 0.000 0.000 7.577" Properties=species:S:1:pos:R:3 pbc="T T T"
Sr 0.000 0.000 0.000
Al 0.000 0.000 3.789
In 1.799 1.981 2.262
In 1.799 1.981 5.315
```

- Symmetry: No. 47
- Energy of formation: -0.172 eV per atom
- Total energy: -2.898 eV per atom



(2)
A relaxed SrAl2In crystal, computed with PBE.

```
12
Lattice="4.549 0.000 0.000 -2.274 3.939 0.000 0.000 0.000 18.230" Properties=species:S:1:pos:R:3 pbc="T T T"
Sr 0.000 0.000 0.000
Sr 0.000 2.626 12.153
Sr 2.274 1.313 6.077
Al 0.000 0.000 8.365
Al 0.000 0.000 14.336
Al 0.000 2.626 2.288
Al 0.000 2.626 8.260
Al 2.274 1.313 2.183
Al 2.274 1.313 14.441
In 0.000 0.000 3.842
In 0.000 2.626 15.995
In 2.274 1.313 9.919
```

- Symmetry: No. 160
- Energy above the lowest structure with this stoichiometry: 0.02 eV/f.u.
- Energy of formation: -0.185 eV per atom
- Total energy: -3.161 eV per atom



(3)
A relaxed SrAlIn crystal, computed with PBE.

```
12
Lattice="4.951 0.000 0.000 0.000 8.340 0.000 0.000 0.000 8.058" Properties=species:S:1:pos:R:3 pbc="T T T"
Sr 1.238 1.696 0.000
Sr 1.238 2.474 4.029
Sr 3.713 5.866 4.029
Sr 3.713 6.644 0.000
Al 1.238 4.830 6.579
Al 1.238 7.680 2.550
Al 3.713 0.660 2.550
Al 3.713 3.510 6.579
In 1.238 4.996 1.536
In 1.238 7.513 5.565
In 3.713 0.826 5.565
In 3.713 3.344 1.536
```

- Symmetry: No. 46
- Energy of formation: -0.340 eV per atom
- Total energy: -3.061 eV per atom



(4)
A relaxed SrAlIn4 crystal, computed with PBE.

```
6
Lattice="0.000 4.402 4.402 4.402 0.000 4.402 4.402 4.402 0.000" Properties=species:S:1:pos:R:3 pbc="T T T"
Sr 0.000 0.000 0.000
Al 6.603 6.603 6.603
In 3.306 3.306 3.306
In 5.498 5.498 3.306
In 5.498 3.306 5.498
In 3.306 5.498 5.498
```

- Symmetry: No. 216
- Energy of formation: -0.028 eV per atom
- Total energy: -2.757 eV per atom



(5)
A relaxed SrAlIn crystal, computed with PBE.

```
12
Lattice="7.123 0.000 0.000 0.000 7.123 0.000 0.000 0.000 7.123" Properties=species:S:1:pos:R:3 pbc="T T T"
Sr 0.000 0.000 0.000
Sr 0.000 3.562 3.562
Sr 3.562 0.000 3.562
Sr 3.562 3.562 0.000
Al 1.781 1.781 1.781
Al 1.781 5.343 5.343
Al 5.343 1.781 5.343
Al 5.343 5.343 1.781
In 0.000 0.000 3.562
In 0.000 3.562 0.000
In 3.562 0.000 0.000
In 3.562 3.562 3.562
```

- Symmetry: No. 216
- Energy of formation: -0.189 eV per atom
- Total energy: -2.910 eV per atom



(6)
A relaxed SrAl2In crystal, computed with PBE.

```
8
Lattice="4.647 0.000 0.000 0.000 4.647 0.000 0.000 0.000 9.303" Properties=species:S:1:pos:R:3 pbc="T T T"
Sr 0.000 0.000 0.000
Sr 2.324 2.324 4.651
Al 0.000 0.000 4.651
Al 0.000 2.324 6.977
Al 2.324 0.000 2.326
Al 2.324 2.324 0.000
In 0.000 2.324 2.326
In 2.324 0.000 6.977
```

- Symmetry: No. 119
- Energy above the lowest structure with this stoichiometry: 0.73 eV/f.u.
- Energy of formation: -0.006 eV per atom
- Total energy: -2.982 eV per atom



(7)
A relaxed SrAlIn2 crystal, computed with PBE.

```
8
Lattice="4.616 0.000 0.000 0.000 7.909 0.000 -2.284 0.000 6.026" Properties=species:S:1:pos:R:3 pbc="T T T"
Sr 0.008 1.977 0.850
Sr 2.325 5.932 5.176
Al 0.009 5.932 2.580
Al 2.323 1.977 3.446
In 0.014 0.404 4.381
In 0.014 3.551 4.381
In 2.318 4.359 1.645
In 2.318 7.505 1.645
```

- Symmetry: No. 11
- Energy of formation: -0.258 eV per atom
- Total energy: -2.983 eV per atom



(8)
A relaxed Sr3Al3In8 crystal, computed with PBE.

```
14
Lattice="-2.410 5.626 6.965 2.410 -5.626 6.965 2.410 5.626 -6.965" Properties=species:S:1:pos:R:3 pbc="T T T"
Sr 0.000 0.000 0.000
Sr 0.000 0.000 4.303
Sr 0.000 0.000 9.627
Al 2.410 3.528 0.000
Al 0.000 5.626 0.000
Al 0.000 2.098 6.965
In 2.410 -1.483 2.122
In 2.410 -2.381 5.074
In 2.410 1.483 2.122
In 0.000 3.244 1.891
In 2.410 2.381 5.074
In 0.000 4.143 4.843
In 0.000 8.007 1.891
In 0.000 7.108 4.843
```

- Symmetry: No. 71
- Energy of formation: -0.234 eV per atom
- Total energy: -2.961 eV per atom



(9)
A relaxed Sr2Al2In crystal, computed with PBE.

```
10
Lattice="6.281 0.000 0.000 2.966 5.541 0.000 1.612 0.954 8.488" Properties=species:S:1:pos:R:3 pbc="T T T"
Sr 1.487 1.889 2.995
Sr 3.180 0.891 7.243
Sr 7.679 5.604 1.245
Sr 9.372 4.607 5.494
Al 2.861 2.767 0.015
Al 4.589 1.689 4.261
Al 6.270 4.807 4.227
Al 7.998 3.729 8.473
In 4.619 3.693 2.124
In 6.240 2.802 6.364
```

- Symmetry: No. 2
- Energy of formation: -0.242 eV per atom
- Total energy: -2.959 eV per atom



(10)
A relaxed Sr3Al2In4 crystal, computed with PBE.

```
9
Lattice="5.930 -2.467 0.000 5.930 2.467 0.000 -2.930 0.000 9.045" Properties=species:S:1:pos:R:3 pbc="T T T"
Sr 0.000 0.000 0.000
Sr 3.377 0.000 2.879
Sr 5.554 0.000 6.166
Al 2.011 0.000 6.103
Al 6.920 0.000 2.942
In -0.069 0.000 3.825
In 0.584 0.000 8.484
In 8.347 0.000 0.561
In 9.000 0.000 5.220
```

- Symmetry: No. 12
- Energy above the lowest structure with this stoichiometry: 0.25 eV/f.u.
- Energy of formation: -0.350 eV per atom
- Total energy: -2.959 eV per atom



(11)
A relaxed SrAlIn2 crystal, computed with PBE.

```
4
Lattice="3.636 0.000 0.000 0.000 5.050 0.000 -0.021 0.000 6.117" Properties=species:S:1:pos:R:3 pbc="T T T"
Sr 0.000 0.000 0.000
Al 1.820 2.525 1.507
In 1.786 2.525 4.619
In 1.820 0.000 2.963
```

- Symmetry: No. 6
- Energy of formation: -0.115 eV per atom
- Total energy: -2.840 eV per atom



(12)
A relaxed SrAl2In crystal, computed with PBE.

```
4
Lattice="3.606 0.000 0.000 0.000 3.971 0.000 0.000 0.000 7.219" Properties=species:S:1:pos:R:3 pbc="T T T"
Sr 0.000 0.000 0.000
Al 1.803 1.986 2.246
Al 1.803 1.986 4.973
In 0.000 0.000 3.609
```

- Symmetry: No. 47
- Energy above the lowest structure with this stoichiometry: 0.51 eV/f.u.
- Energy of formation: -0.062 eV per atom
- Total energy: -3.038 eV per atom



(13)
A relaxed SrAl2In crystal, computed with PBE.

```
8
Lattice="8.103 0.000 0.000 0.000 4.642 0.000 -2.670 0.000 5.804" Properties=species:S:1:pos:R:3 pbc="T T T"
Sr 0.000 0.000 0.000
Sr 4.052 2.321 0.000
Al 0.026 0.000 3.750
Al 1.356 2.321 2.054
Al 4.078 2.321 3.750
Al 5.408 0.000 2.054
In -1.335 2.321 2.902
In 2.717 0.000 2.902
```

- Symmetry: No. 12
- Energy above the lowest structure with this stoichiometry: 0.43 eV/f.u.
- Energy of formation: -0.083 eV per atom
- Total energy: -3.059 eV per atom



(14)
A relaxed SrAl3In crystal, computed with PBE.

```
5
Lattice="5.334 0.000 0.000 0.000 5.334 0.000 0.000 0.000 5.334" Properties=species:S:1:pos:R:3 pbc="T T T"
Sr 0.000 0.000 0.000
Al 0.000 2.667 2.667
Al 2.667 0.000 2.667
Al 2.667 2.667 0.000
In 2.667 2.667 2.667
```

- Symmetry: No. 221
- Energy above the lowest structure with this stoichiometry: 0.00 eV/f.u.
- Energy of formation: 0.438 eV per atom
- Total energy: -2.691 eV per atom



(15)
A relaxed Sr2Al2In crystal, computed with PBE.

```
10
Lattice="7.544 0.000 0.000 0.000 7.544 0.000 0.000 0.000 5.186" Properties=species:S:1:pos:R:3 pbc="T T T"
Sr 1.339 2.433 0.000
Sr 2.433 6.205 0.000
Sr 5.111 1.339 0.000
Sr 6.205 5.111 0.000
Al 0.941 4.713 2.593
Al 2.831 0.941 2.593
Al 4.713 6.603 2.593
Al 6.603 2.831 2.593
In 0.000 0.000 2.593
In 3.772 3.772 2.593
```

- Symmetry: No. 127
- Energy of formation: -0.199 eV per atom
- Total energy: -2.916 eV per atom



(16)
A relaxed SrAlIn crystal, computed with PBE.

```
6
Lattice="4.800 0.000 0.000 0.000 4.369 0.000 0.000 0.000 8.329" Properties=species:S:1:pos:R:3 pbc="T T T"
Sr 1.200 0.000 2.010
Sr 3.600 0.000 6.319
Al 1.200 2.185 7.710
Al 3.600 2.185 0.618
In 1.200 2.185 4.943
In 3.600 2.185 3.386
```

- Symmetry: No. 51
- Energy of formation: -0.293 eV per atom
- Total energy: -3.014 eV per atom



(17)
A relaxed SrAlIn crystal, computed with PBE.

```
12
Lattice="10.435 0.000 0.000 0.000 6.239 0.000 -3.395 0.000 4.895" Properties=species:S:1:pos:R:3 pbc="T T T"
Sr 0.049 0.000 1.849
Sr 1.773 3.120 3.046
Sr 5.266 3.120 1.849
Sr 6.991 0.000 3.046
Al 0.000 3.120 0.000
Al -1.697 3.120 2.448
Al 5.217 0.000 0.000
Al 3.520 0.000 2.448
In 2.609 1.560 0.000
In 2.609 4.679 0.000
In 7.826 1.560 0.000
In 7.826 4.679 0.000
```

- Symmetry: No. 12
- Energy of formation: -0.304 eV per atom
- Total energy: -3.025 eV per atom



(18)
A relaxed SrAl2In crystal, computed with PBE.

```
16
Lattice="7.351 0.000 0.000 0.000 7.351 0.000 0.000 0.000 7.351" Properties=species:S:1:pos:R:3 pbc="T T T"
Sr 0.000 0.000 0.000
Sr 0.000 3.675 3.675
Sr 3.675 0.000 3.675
Sr 3.675 3.675 0.000
Al 0.000 0.000 3.675
Al 0.000 3.675 0.000
Al 1.838 1.838 5.513
Al 1.838 5.513 1.838
Al 3.675 0.000 0.000
Al 3.675 3.675 3.675
Al 5.513 1.838 1.838
Al 5.513 5.513 5.513
In 1.838 1.838 1.838
In 1.838 5.513 5.513
In 5.513 1.838 5.513
In 5.513 5.513 1.838
```

- Symmetry: No. 216
- Energy above the lowest structure with this stoichiometry: 0.91 eV/f.u.
- Energy of formation: 0.038 eV per atom
- Total energy: -2.939 eV per atom



(19)
A relaxed SrAlIn2 crystal, computed with PBE.

```
4
Lattice="3.787 0.000 0.000 0.000 3.965 0.000 0.000 0.000 7.418" Properties=species:S:1:pos:R:3 pbc="T T T"
Sr 0.000 0.000 0.000
Al 1.894 1.983 2.210
In 0.000 0.000 3.501
In 1.894 1.983 5.145
```

- Symmetry: No. 25
- Energy of formation: -0.143 eV per atom
- Total energy: -2.868 eV per atom



(20)
A relaxed SrAlIn2 crystal, computed with PBE.

```
16
Lattice="7.420 0.000 0.000 0.000 4.985 0.000 0.000 0.000 11.806" Properties=species:S:1:pos:R:3 pbc="T T T"
Sr 0.000 0.000 0.000
Sr 0.000 2.492 5.903
Sr 3.710 0.000 2.110
Sr 3.710 2.492 8.013
Al 1.384 0.000 8.398
Al 1.384 2.492 2.495
Al 6.036 0.000 8.398
Al 6.036 2.492 2.495
In 0.000 0.000 3.375
In 0.000 2.492 9.278
In 2.199 0.000 5.650
In 2.199 2.492 11.553
In 3.710 0.000 10.376
In 3.710 2.492 4.473
In 5.222 0.000 5.650
In 5.222 2.492 11.553
```

- Symmetry: No. 38
- Energy of formation: -0.237 eV per atom
- Total energy: -2.963 eV per atom